Entry 1:
Material: LaPu2FeN4
Method: DFT, GGA-PBE
State: optimized geometry

```
16
Lattice="1.7279 -5.7511 0.0000 1.7279 5.7511 0.0000 0.0000 0.0000 11.4686" Properties=species:S:1:pos:R:3 pbc="T T T"
La 1.7279 4.6033 8.6015
La 1.7279 -4.6033 2.8672
Pu 1.7279 1.5128 6.3635
Pu 1.7279 1.5128 10.8395
Pu 1.7279 -1.5128 0.6291
Pu 1.7279 -1.5128 5.1052
Fe 1.7279 3.8694 2.8672
Fe 1.7279 -3.8694 8.6015
N 0.0000 0.0000 0.0000
N 0.0000 0.0000 5.7343
N 1.7279 2.7283 1.2813
N 1.7279 2.7283 4.4530
N 1.7279 0.7105 8.6015
N 1.7279 -0.7105 2.8672
N 1.7279 -2.7283 7.0156
N 1.7279 -2.7283 10.1873
```

Entry 2:
Material: La2FeRuN
Method: DFT, GGA-PBE
State: optimized geometry

```
5
Lattice="5.2200 0.0000 0.0000 0.0000 5.2200 0.0000 0.0000 0.0000 3.5678" Properties=species:S:1:pos:R:3 pbc="T T T"
La 0.0000 2.6100 0.0000
La 2.6100 0.0000 0.0000
Fe 0.0000 0.0000 1.7839
Ru 2.6100 2.6100 1.7839
N 0.0000 0.0000 0.0000
```

Results
- Offset from the most stable computed form: 0.000 eV per atom

no.,raw formation energy (eV/atom),total DFT energy (no corrections) (eV/atom)
1,-1.08,-10.50
2,-0.43,-7.62